# 1
7
Lattice="-4.0313 3.7933 -0.8009 -1.9494 -3.6388 -7.4225 -0.7879 -3.5261 6.7947" Properties=species:S:1:pos:R:3 comment="Ho5MgTl (PBE-GGA, optimized geometry)" formation_enthalpy_0k_mev_per_atom=739 total_energy_ev_per_atom=-3.097 vol_a3_per_cell=274 space_group=Imm2 dos_ef_per_ev_fu=11.8 pbc="T T T"
Ho -1.7218 -1.9292 1.3980
Ho -1.4710 -1.3524 -3.8098
Ho -4.6611 -1.8053 -2.7500
Ho -2.1855 1.0965 -1.6682
Ho -3.4511 -1.2657 -6.4867
Mg -3.4974 0.5544 -4.2124
Tl -3.8816 3.6524 -0.7711


# 2
8
Lattice="-0.7773 4.1822 0.8897 -3.7178 1.1562 1.9309 4.9096 0.1364 14.2622" Properties=species:S:1:pos:R:3 comment="LiNdTeBr (PBE-GGA, optimized geometry)" formation_energy_uncorrected_mev_per_atom=-1312 total_energy_ev_per_atom=-4.186 vol_a3_per_cell=243 space_group=R-3m dos_ef_per_ev_fu=2.2 pbc="T T T"
Li -0.8694 4.4088 10.3583
Li 1.2839 1.0661 6.7244
Nd -1.4611 3.1652 5.0730
Nd 1.8755 2.3096 12.0098
Te 2.5224 0.7485 9.2992
Te -2.1079 4.7263 7.7835
Br 1.1272 3.8968 14.5092
Br -0.7127 1.5780 2.5736


# 3
4
Lattice="5.7078 0.0000 0.0000 0.0000 4.9699 0.0000 0.0000 0.0000 4.9699" Properties=species:S:1:pos:R:3 comment="RbTl2Hg (PBE-GGA, optimized geometry)" formation_enthalpy_0k_mev_per_atom=-20 total_energy_ev_per_atom=-1.521 vol_a3_per_cell=141 space_group=P4/mmm polymorph_energy_kj_per_mol_atoms=7.7 dos_ef_per_ev_fu=2.5 pbc="T T T"
Tl 0.0000 0.0000 2.4850
Tl 0.0000 2.4850 0.0000
Hg 2.8539 2.4850 2.4850
Rb 2.8539 0.0000 0.0000


# 4
14
Lattice="-3.5673 1.2909 -1.9515 -1.7689 -6.0848 -5.4546 -6.0754 -4.6579 3.3616" Properties=species:S:1:pos:R:3 comment="Er3Al11 (PBE-GGA, optimized geometry)" formation_enthalpy_0k_mev_per_atom=-314 total_energy_ev_per_atom=-4.232 vol_a3_per_cell=270 space_group=Immm dos_ef_per_ev_fu=4.2 pbc="T T T"
Er 0.0000 0.0000 0.0000
Er -4.9076 -2.4800 -1.9959
Er -6.5041 -6.9719 -2.0487
Al -3.9221 -5.3714 -1.0465
Al -6.5920 -4.4323 -0.2082
Al -4.8197 -5.0195 -3.8364
Al -8.3797 -8.3302 -4.1817
Al -3.0319 -1.1216 0.1372
Al -9.4894 -7.9625 -1.9100
Al -1.9222 -1.4893 -2.1346
Al -7.1299 -6.0684 -4.9703
Al -4.2817 -3.3835 0.9257
Al -9.0375 -5.4363 -1.0651
Al -2.3742 -4.0155 -2.9794


# 5
4
Lattice="0.0000 3.4723 3.4723 3.4723 0.0000 3.4723 3.4723 3.4723 0.0000" Properties=species:S:1:pos:R:3 comment="Ti2BiSb (PBE-GGA, optimized geometry)" formation_energy_uncorrected_mev_per_atom=-82 total_energy_ev_per_atom=-6.031 vol_a3_per_cell=84 space_group=Fm-3m polymorph_energy_kj_per_mol_atoms=20.6 dos_ef_per_ev_fu=7.3 pbc="T T T"
Sb 0.0000 0.0000 0.0000
Bi 3.4723 3.4723 3.4723
Ti 1.7361 1.7361 1.7361
Ti 5.2084 5.2084 5.2084


# 6
4
Lattice="4.2845 0.0000 0.0000 2.1423 3.7105 0.0000 2.1423 1.2368 3.4983" Properties=species:S:1:pos:R:3 comment="AlV3 (PBE-GGA, optimized geometry)" formation_enthalpy_0k_mev_per_atom=-98 total_energy_ev_per_atom=-7.873 vol_a3_per_cell=56 space_group=Fm-3m dos_ef_per_ev_fu=3.1 pbc="T T T"
Al 4.2845 2.4737 1.7491
V 0.0000 0.0000 0.0000
V 6.4268 3.7105 2.6237
V 2.1423 1.2368 0.8746


# 7
16
Lattice="-3.8499 -8.0002 -0.1614 7.7655 -3.7158 -2.1773 -0.6381 5.1568 7.2828" Properties=species:S:1:pos:R:3 comment="NaLiTl2Br4 (PBE-GGA, optimized geometry)" formation_energy_uncorrected_mev_per_atom=-1163 total_energy_ev_per_atom=-2.995 vol_a3_per_cell=496 space_group=C2/c dos_ef_per_ev_fu=0.0 pbc="T T T"
Na 3.8828 -1.8579 -1.0886
Na -0.2862 -7.2797 2.3913
Li 1.6388 -3.2796 2.4721
Li -4.4880 -2.8433 7.1214
Tl -1.9249 -4.0001 -0.0807
Tl -2.2440 -1.4217 3.5607
Tl -0.3190 2.5784 3.6414
Tl 1.9578 -5.8580 -1.1693
Br 4.3796 0.5974 5.4618
Br -0.9656 -4.4102 3.0447
Br 4.2430 -2.1490 1.8995
Br -1.1022 -7.1568 -0.5176
Br 2.2027 -3.8502 5.3149
Br 2.4736 -6.0771 2.1430
Br 0.8040 -0.4821 2.8012
Br 1.0748 -2.7090 -0.3708


# 8
11
Lattice="4.1219 0.0000 -1.4892 -0.5380 4.0867 -1.4892 -0.1881 -0.2144 5.9286" Properties=species:S:1:pos:R:3 comment="PuH8Ir2 (PBE-GGA, optimized geometry)" total_energy_ev_per_atom=-5.349 vol_a3_per_cell=97 space_group=I4/mmm dos_ef_per_ev_fu=12.9 pbc="T T T"
Pu 1.7920 2.0433 -1.4892
H 3.2727 3.7318 -0.9123
H 0.1231 0.1404 3.8627
H 2.0803 2.3721 2.2362
H 2.3741 0.1404 3.0494
H 1.3156 1.5001 0.7141
H 1.0218 3.7318 -0.0991
H 3.5665 1.5001 -0.0991
H -0.1707 2.3721 3.0494
Ir 0.5329 2.9578 1.4752
Ir 2.8629 0.9144 1.4752


# 9
10
Lattice="4.2531 0.0000 0.0000 2.1265 7.0000 0.0000 2.1265 0.0000 22.1059" Properties=species:S:1:pos:R:3 comment="Cs3Ge2 (PBE-GGA, optimized geometry)" formation_enthalpy_0k_mev_per_atom=-62 total_energy_ev_per_atom=-2.422 vol_a3_per_cell=658 space_group=Fdd2 dos_ef_per_ev_fu=3.4 pbc="T T T"
Cs 5.7423 6.8826 14.4703
Cs 1.4892 0.1174 7.6356
Cs 6.8055 3.3826 18.6886
Cs 2.5525 3.6174 3.4173
Cs 0.4249 0.0000 0.0000
Cs 5.7413 3.5000 11.0529
Ge 4.6780 3.0765 21.5616
Ge 4.6780 3.9235 0.5443
Ge 3.6147 6.5765 11.5972
Ge 3.6147 0.4235 10.5087


# 10
7
Lattice="3.5335 0.0000 -0.5909 -0.2508 5.7065 -1.4995 0.2081 0.1296 12.1037" Properties=species:S:1:pos:R:3 comment="PrNd2Sm4 (PBE-GGA, optimized geometry)" formation_enthalpy_0k_mev_per_atom=98 total_energy_ev_per_atom=-4.643 vol_a3_per_cell=245 space_group=Immm polymorph_energy_kj_per_mol_atoms=8.6 dos_ef_per_ev_fu=12.7 pbc="T T T"
Pr 0.0000 0.0000 0.0000
Nd 1.0218 1.6484 6.1095
Nd 2.4690 4.1877 3.9037
Sm 0.1845 3.3543 1.1032
Sm 3.3063 2.4817 8.9100
Sm 1.2174 5.0190 7.2795
Sm 2.2733 0.8171 2.7337


# 11
12
Lattice="-5.3866 0.6842 -2.9778 2.1758 -3.8167 -4.8128 -4.3917 -2.6578 4.5339" Properties=species:S:1:pos:R:3 comment="Pm3NbTe2O6 (PBE-GGA, optimized geometry)" formation_energy_uncorrected_mev_per_atom=-2104 total_energy_ev_per_atom=-7.134 vol_a3_per_cell=237 space_group=C2/m dos_ef_per_ev_fu=3.5 pbc="T T T"
Pm 1.0879 -1.9083 -2.4064
Pm -3.8012 -2.8952 -1.6284
Pm -4.8892 -0.9868 0.7780
Nb -2.6933 0.3421 -1.4889
Te -0.9113 -4.1255 -1.5520
Te -6.6911 -1.6648 -1.7048
O -3.5471 -0.9113 -2.9532
O -4.0554 -4.8791 -0.3035
O -4.6723 -4.5237 -2.9365
O -2.9302 -1.2667 -0.3202
O -5.2091 -2.8552 2.2486
O -2.3933 -2.9352 -5.5053


# 12
4
Lattice="-1.3786 -2.6738 2.3643 -2.5129 -2.5816 -1.2887 3.7718 -5.8486 -1.3187" Properties=species:S:1:pos:R:3 comment="NaHfP2 (PBE-GGA, optimized geometry)" formation_enthalpy_0k_mev_per_atom=-659 total_energy_ev_per_atom=-6.182 vol_a3_per_cell=85 space_group=R-3m polymorph_energy_kj_per_mol_atoms=0.0 dos_ef_per_ev_fu=2.7 pbc="T T T"
P -0.2389 -2.6071 0.0084
P 0.1192 -8.4968 -0.2514
Hf 0.0000 0.0000 0.0000
Na -0.0598 -5.5520 -0.1215